(1)
{
  "formula": "Be2TcTe",
  "functional": "PBE-GGA",
  "state": "optimized geometry",
  "spacegroup": "Pm",
  "lattice": [[3.2246, 0.0000, 0.0000], [0.0000, 3.4495, 0.0000], [-1.5876, 0.0000, 4.9100]],
  "species": ["Be", "Be", "Tc", "Te"],
  "frac_coords": [[0.0000, 0.0000, 0.0000], [0.1332, 0.5000, 0.2505], [0.7154, 0.0000, 0.4072], [0.3704, 0.5000, 0.7566]]
}

***

(2)
{
  "formula": "BeTc4Te",
  "functional": "PBE-GGA",
  "state": "optimized geometry",
  "spacegroup": "F-43m",
  "lattice": [[0.0000, 3.6707, 3.6707], [3.6707, 0.0000, 3.6707], [3.6707, 3.6707, 0.0000]],
  "species": ["Be", "Tc", "Tc", "Tc", "Tc", "Te"],
  "frac_coords": [[0.0000, 0.0000, 0.0000], [0.3750, 0.3750, 0.3750], [0.3750, 0.3750, 0.8750], [0.3750, 0.8750, 0.3750], [0.8750, 0.3750, 0.3750], [0.7500, 0.7500, 0.7500]]
}

***

(3)
{
  "formula": "Be2TcTe",
  "functional": "PBE-GGA",
  "state": "optimized geometry",
  "spacegroup": "Cm",
  "lattice": [[6.7942, 0.0000, 0.0000], [0.0000, 3.9337, 0.0000], [-2.2822, 0.0000, 4.5319]],
  "species": ["Be", "Be", "Be", "Be", "Tc", "Tc", "Te", "Te"],
  "frac_coords": [[0.0000, 0.0000, 0.0000], [0.1803, 0.5000, 0.0405], [0.5000, 0.5000, 0.0000], [0.6803, 0.0000, 0.0405], [0.2910, 0.0000, 0.8727], [0.7910, 0.5000, 0.8727], [0.4912, 0.0000, 0.4732], [0.9912, 0.5000, 0.4732]]
}

***

Number 1: mass density 7.41 g/cm³, E_form (uncorrected) 0.328 eV per atom. Number 2: mass density 8.87 g/cm³, E_form (uncorrected) 0.675 eV per atom. Number 3: mass density 6.68 g/cm³, E_form (uncorrected) 0.187 eV per atom.